No. 1
{
  "formula": "GaTcNO",
  "functional": "PBE",
  "state": "relaxed",
  "lattice_angstrom": [[3.7270, 0.0000, 0.0000], [0.0000, 3.7270, 0.0000], [0.0000, 0.0000, 6.5466]],
  "species": ["Ga", "Ga", "Tc", "Tc", "N", "N", "O", "O"],
  "fractional_positions": [[0.2500, 0.2500, 0.1273], [0.7500, 0.7500, 0.8727], [0.2500, 0.7500, 0.5000], [0.7500, 0.2500, 0.5000], [0.2500, 0.2500, 0.6341], [0.7500, 0.7500, 0.3659], [0.2500, 0.7500, 0.0000], [0.7500, 0.2500, 0.0000]],
  "total_magnetization_mub_per_fu": 0.1,
  "relative_energy_mev_per_atom": 288,
  "space_group": "P4/nmm (129)",
  "dft_energy_ev_per_fu": -28.2,
  "vol_a3_per_cell": 90.9
}

No. 2
{
  "formula": "Y2NbGa",
  "functional": "PBE",
  "state": "relaxed",
  "lattice_angstrom": [[7.0856, 0.0000, 0.0000], [0.0000, 7.0856, 0.0000], [0.0000, 0.0000, 7.0856]],
  "species": ["Y", "Y", "Y", "Y", "Y", "Y", "Y", "Y", "Nb", "Nb", "Nb", "Nb", "Ga", "Ga", "Ga", "Ga"],
  "fractional_positions": [[0.0000, 0.0000, 0.0000], [0.0000, 0.5000, 0.5000], [0.2500, 0.2500, 0.2500], [0.2500, 0.7500, 0.7500], [0.5000, 0.0000, 0.5000], [0.5000, 0.5000, 0.0000], [0.7500, 0.2500, 0.7500], [0.7500, 0.7500, 0.2500], [0.2500, 0.2500, 0.7500], [0.2500, 0.7500, 0.2500], [0.7500, 0.2500, 0.2500], [0.7500, 0.7500, 0.7500], [0.0000, 0.0000, 0.5000], [0.0000, 0.5000, 0.0000], [0.5000, 0.0000, 0.0000], [0.5000, 0.5000, 0.5000]],
  "total_magnetization_mub_per_fu": 0.0,
  "space_group": "F-43m (216)",
  "dft_energy_ev_per_fu": -25.5,
  "vol_a3_per_cell": 355.7
}